Record 1
A relaxed Ba4AcAg5 crystal, computed with PBE. Values from VASP.

Results
E	-2.8411	eV/atom
energy of formation	-0.24	eV/atom

```
&SYSTEM
  ibrav = 0, nat = 10, ntyp = 3
/
ATOMIC_SPECIES
Ag 107.87 Ag.upf
Ba 137.33 Ba.upf
Ac 227.00 Ac.upf
ATOMIC_POSITIONS crystal
Ag 0.500 0.500 0.085
Ba 0.000 0.000 0.399
Ag 0.500 0.500 0.915
Ag 0.500 0.500 0.701
Ba 0.000 0.000 0.601
Ba 0.000 0.000 0.803
Ag 0.500 0.500 0.299
Ba 0.000 0.000 0.197
Ag 0.500 0.500 0.500
Ac 0.000 0.000 0.000
CELL_PARAMETERS angstrom
-0.972 -3.976 0.001
1.700 -0.415 3.700
-17.958 4.391 8.743
```


Record 2
A relaxed BaAc4Ag5 crystal, computed with PBE. Values from VASP.

Results
E	-3.5119	eV/atom
energy of formation	-0.25	eV/atom

```
&SYSTEM
  ibrav = 0, nat = 10, ntyp = 3
/
ATOMIC_SPECIES
Ag 107.87 Ag.upf
Ba 137.33 Ba.upf
Ac 227.00 Ac.upf
ATOMIC_POSITIONS crystal
Ag 0.500 0.500 0.302
Ba 0.000 0.000 0.000
Ag 0.500 0.500 0.500
Ac 0.000 0.000 0.796
Ac 0.000 0.000 0.598
Ag 0.500 0.500 0.887
Ac 0.000 0.000 0.402
Ac 0.000 0.000 0.204
Ag 0.500 0.500 0.113
Ag 0.500 0.500 0.698
CELL_PARAMETERS angstrom
3.976 0.000 0.000
0.000 3.976 0.000
0.000 0.000 20.148
```


Record 3
A relaxed BaAcAg4 crystal, computed with PBE. Values from VASP.

Results
E	-3.0278	eV/atom
energy of formation	-0.12	eV/atom

```
&SYSTEM
  ibrav = 0, nat = 6, ntyp = 3
/
ATOMIC_SPECIES
Ba 137.33 Ba.upf
Ag 107.87 Ag.upf
Ac 227.00 Ac.upf
ATOMIC_POSITIONS crystal
Ba 0.000 0.000 0.000
Ag 0.625 0.625 0.125
Ac 0.250 0.250 0.250
Ag 0.625 0.125 0.625
Ag 0.125 0.625 0.625
Ag 0.625 0.625 0.625
CELL_PARAMETERS angstrom
6.057 0.000 0.000
3.028 5.245 0.000
3.028 1.748 4.945
```


Record 4
A relaxed Ba2AcAg crystal, computed with PBE. Values from VASP.

Results
E	-2.7457	eV/atom
energy of formation	-0.04	eV/atom

```
&SYSTEM
  ibrav = 0, nat = 4, ntyp = 3
/
ATOMIC_SPECIES
Ba 137.33 Ba.upf
Ac 227.00 Ac.upf
Ag 107.87 Ag.upf
ATOMIC_POSITIONS crystal
Ba 0.000 0.000 0.804
Ba 0.000 0.000 0.196
Ac 0.500 0.500 0.500
Ag 0.500 0.500 0.000
CELL_PARAMETERS angstrom
-1.889 -2.175 2.907
3.116 0.710 2.557
-4.731 8.618 3.373
```


Record 5
A relaxed BaAcAg2 crystal, computed with PBE. Values from VASP.

Results
E	-3.0462	eV/atom
energy of formation	-0.11	eV/atom

```
&SYSTEM
  ibrav = 0, nat = 4, ntyp = 3
/
ATOMIC_SPECIES
Ac 227.00 Ac.upf
Ag 107.87 Ag.upf
Ba 137.33 Ba.upf
ATOMIC_POSITIONS crystal
Ac 0.669 0.669 0.994
Ag 0.256 0.256 0.232
Ba 0.497 0.497 0.508
Ag 0.078 0.078 0.767
CELL_PARAMETERS angstrom
-0.635 4.371 -1.199
-3.573 2.332 1.657
3.192 4.677 6.622
```


Record 6
A relaxed Ba2AcAg crystal, computed with PBE. Values from VASP.

Results
E	-2.5296	eV/atom
energy of formation	0.17	eV/atom

```
&SYSTEM
  ibrav = 0, nat = 4, ntyp = 3
/
ATOMIC_SPECIES
Ba 137.33 Ba.upf
Ag 107.87 Ag.upf
Ac 227.00 Ac.upf
ATOMIC_POSITIONS crystal
Ba 0.894 0.894 0.317
Ag 0.500 0.500 0.500
Ac 0.000 0.000 0.000
Ba 0.106 0.106 0.683
CELL_PARAMETERS angstrom
4.185 0.000 0.000
2.092 3.624 0.000
2.092 1.208 12.619
```


Record 7
A relaxed BaAcAg4 crystal, computed with PBE. Values from VASP.

Results
E	-3.1811	eV/atom
energy of formation	-0.28	eV/atom

```
&SYSTEM
  ibrav = 0, nat = 6, ntyp = 3
/
ATOMIC_SPECIES
Ag 107.87 Ag.upf
Ba 137.33 Ba.upf
Ac 227.00 Ac.upf
ATOMIC_POSITIONS crystal
Ag 0.736 0.929 0.600
Ba 0.500 0.500 0.500
Ag 0.264 0.071 0.400
Ag 0.264 0.400 0.071
Ag 0.736 0.600 0.929
Ac 0.000 0.000 0.000
CELL_PARAMETERS angstrom
-0.221 -4.711 0.768
2.498 -3.350 -4.968
5.286 -2.170 3.081
```


Record 8
A relaxed BaAc5Ag6 crystal, computed with PBE. Values from VASP.

Results
E	-3.5409	eV/atom
energy of formation	-0.24	eV/atom

```
&SYSTEM
  ibrav = 0, nat = 12, ntyp = 3
/
ATOMIC_SPECIES
Ag 107.87 Ag.upf
Ac 227.00 Ac.upf
Ba 137.33 Ba.upf
ATOMIC_POSITIONS crystal
Ag 0.500 0.736 0.000
Ac 0.666 0.000 0.669
Ag 0.500 0.264 0.000
Ac 0.665 0.500 0.670
Ac 0.000 0.500 0.000
Ag 0.172 0.254 0.655
Ac 0.334 0.000 0.331
Ag 0.828 0.254 0.345
Ac 0.335 0.500 0.330
Ba 0.000 0.000 0.000
Ag 0.828 0.746 0.345
Ag 0.172 0.746 0.655
CELL_PARAMETERS angstrom
-1.909 4.028 -3.468
-0.753 -5.356 -5.807
-8.898 0.410 0.776
```


Record 9
A relaxed Ba2AcAg6 crystal, computed with PBE. Values from VASP.

Results
E	-3.0591	eV/atom
energy of formation	-0.27	eV/atom

```
&SYSTEM
  ibrav = 0, nat = 9, ntyp = 3
/
ATOMIC_SPECIES
Ag 107.87 Ag.upf
Ba 137.33 Ba.upf
Ac 227.00 Ac.upf
ATOMIC_POSITIONS crystal
Ag 0.500 0.000 0.330
Ba 0.000 0.667 0.333
Ac 0.000 0.000 0.000
Ag 0.500 0.670 0.670
Ag 0.500 0.330 0.000
Ba 0.000 0.333 0.667
Ag 0.500 0.670 0.000
Ag 0.500 0.000 0.670
Ag 0.500 0.330 0.330
CELL_PARAMETERS angstrom
4.270 0.000 0.000
0.000 7.341 -4.238
0.000 0.000 8.477
```


Record 10
A relaxed Ba2AcAg crystal, computed with PBE. Values from VASP.

Results
E	-2.5661	eV/atom
energy of formation	0.14	eV/atom

```
&SYSTEM
  ibrav = 0, nat = 4, ntyp = 3
/
ATOMIC_SPECIES
Ba 137.33 Ba.upf
Ag 107.87 Ag.upf
Ac 227.00 Ac.upf
ATOMIC_POSITIONS crystal
Ba 0.000 0.500 0.000
Ba 0.000 0.000 0.500
Ag 0.500 0.000 0.000
Ac 0.500 0.500 0.500
CELL_PARAMETERS angstrom
-1.606 -3.101 -2.597
3.851 1.927 -4.683
4.486 -4.026 2.033
```


Record 11
A relaxed BaAcAg2Bi2 crystal, computed with PBE. Values from VASP.

Results
E	-3.8551	eV/atom
energy of formation	-0.61	eV/atom

```
&SYSTEM
  ibrav = 0, nat = 6, ntyp = 4
/
ATOMIC_SPECIES
Bi 208.98 Bi.upf
Ag 107.87 Ag.upf
Ba 137.33 Ba.upf
Ac 227.00 Ac.upf
ATOMIC_POSITIONS crystal
Bi 0.667 0.333 0.745
Ag 0.333 0.667 0.709
Bi 0.333 0.667 0.255
Ba 0.000 0.000 0.000
Ac 0.000 0.000 0.500
Ag 0.667 0.333 0.291
CELL_PARAMETERS angstrom
-1.370 -2.742 -3.980
4.689 -0.317 1.775
-2.522 -6.682 5.472
```


Record 12
A relaxed BaCa2AcAg4 crystal, computed with PBE. Values from VASP.

Results
E	-2.9470	eV/atom
energy of formation	-0.27	eV/atom

```
&SYSTEM
  ibrav = 0, nat = 8, ntyp = 4
/
ATOMIC_SPECIES
Ag 107.87 Ag.upf
Ca 40.08 Ca.upf
Ac 227.00 Ac.upf
Ba 137.33 Ba.upf
ATOMIC_POSITIONS crystal
Ag 0.871 0.871 0.386
Ca 0.250 0.250 0.251
Ag 0.129 0.129 0.614
Ag 0.380 0.380 0.861
Ag 0.620 0.620 0.139
Ac 0.500 0.500 0.500
Ba 0.000 0.000 0.000
Ca 0.750 0.750 0.749
CELL_PARAMETERS angstrom
5.502 0.000 0.000
2.751 4.765 0.000
2.751 1.588 9.033
```